# 1
VASP calculation (PBE-GGA) on a geometry-optimized Cs2Ag3Sn structure.

Properties
total moment: 0.0 Bohr magnetons per cell
symmetry: No. 51
calculated formation energy: -51 meV/atom

The structure in CIF format:
```
data_Cs2Ag3Sn
_chemical_formula_sum 'Cs4 Ag6 Sn2'
_symmetry_space_group_name_H-M 'P 1'
_symmetry_Int_Tables_number 1
_symmetry_space_group_name_Hall 'P 1'
_cell_length_a 6.144
_cell_length_b 6.969
_cell_length_c 9.296
_cell_angle_alpha 90.00
_cell_angle_beta 90.00
_cell_angle_gamma 90.00
loop_
_atom_site_label
_atom_site_fract_x
_atom_site_fract_y
_atom_site_fract_z
Ag1 0.750 0.205 0.215
Ag2 0.250 0.205 0.785
Sn1 0.750 0.500 0.422
Ag3 0.000 0.000 0.000
Ag4 0.250 0.795 0.785
Sn2 0.250 0.500 0.578
Ag5 0.750 0.795 0.215
Cs1 0.250 0.500 0.143
Cs2 0.750 0.000 0.623
Cs3 0.250 0.000 0.377
Ag6 0.500 0.000 0.000
Cs4 0.750 0.500 0.857
```

---

# 2
VASP calculation (PBE-GGA) on a geometry-optimized Cs3Ag2Sn4 structure.

Properties
total moment: 0.0 Bohr magnetons per cell
symmetry: No. 2
calculated formation energy: -130 meV/atom

The structure in CIF format:
```
data_Cs3Ag2Sn4
_chemical_formula_sum 'Cs3 Ag2 Sn4'
_symmetry_space_group_name_H-M 'P 1'
_symmetry_Int_Tables_number 1
_symmetry_space_group_name_Hall 'P 1'
_cell_length_a 4.904
_cell_length_b 8.364
_cell_length_c 9.448
_cell_angle_alpha 90.14
_cell_angle_beta 74.66
_cell_angle_gamma 73.01
loop_
_atom_site_label
_atom_site_fract_x
_atom_site_fract_y
_atom_site_fract_z
Sn1 0.285 0.385 0.048
Ag1 0.307 0.610 0.775
Sn2 0.715 0.615 0.952
Sn3 0.864 0.651 0.623
Cs1 0.000 0.000 0.000
Cs2 0.420 0.809 0.359
Ag2 0.693 0.390 0.225
Sn4 0.136 0.349 0.377
Cs3 0.580 0.191 0.641
```

---

# 3
VASP calculation (PBE-GGA) on a geometry-optimized Cs4AgSn4 structure.

Properties
total moment: 0.0 Bohr magnetons per cell
symmetry: No. 121
calculated formation energy: 13 meV/atom

The structure in CIF format:
```
data_Cs4AgSn4
_chemical_formula_sum 'Cs4 Ag1 Sn4'
_symmetry_space_group_name_H-M 'P 1'
_symmetry_Int_Tables_number 1
_symmetry_space_group_name_Hall 'P 1'
_cell_length_a 7.781
_cell_length_b 10.210
_cell_length_c 7.781
_cell_angle_alpha 67.60
_cell_angle_beta 90.00
_cell_angle_gamma 112.40
loop_
_atom_site_label
_atom_site_fract_x
_atom_site_fract_y
_atom_site_fract_z
Sn1 0.731 0.716 0.269
Sn2 0.015 0.284 0.731
Sn3 0.985 0.716 0.015
Sn4 0.269 0.284 0.985
Cs1 0.458 0.270 0.542
Ag1 0.000 0.000 0.000
Cs2 0.542 0.730 0.811
Cs3 0.189 0.730 0.458
Cs4 0.811 0.270 0.189
```

---

# 4
VASP calculation (PBE-GGA) on a geometry-optimized CsAg4Sn4 structure.

Properties
total moment: 0.0 Bohr magnetons per cell
symmetry: No. 86
calculated formation energy: -11 meV/atom

The structure in CIF format:
```
data_CsAg4Sn4
_chemical_formula_sum 'Cs2 Ag8 Sn8'
_symmetry_space_group_name_H-M 'P 1'
_symmetry_Int_Tables_number 1
_symmetry_space_group_name_Hall 'P 1'
_cell_length_a 5.523
_cell_length_b 9.776
_cell_length_c 9.776
_cell_angle_alpha 90.00
_cell_angle_beta 90.00
_cell_angle_gamma 90.00
loop_
_atom_site_label
_atom_site_fract_x
_atom_site_fract_y
_atom_site_fract_z
Ag1 0.429 0.688 0.837
Ag2 0.929 0.337 0.812
Ag3 0.429 0.312 0.163
Ag4 0.071 0.188 0.337
Sn1 0.074 0.877 0.379
Sn2 0.426 0.377 0.879
Cs1 0.000 0.000 0.000
Ag5 0.071 0.812 0.663
Ag6 0.929 0.663 0.188
Sn3 0.926 0.621 0.877
Sn4 0.074 0.123 0.621
Sn5 0.574 0.879 0.623
Ag7 0.571 0.163 0.688
Ag8 0.571 0.837 0.312
Sn6 0.574 0.121 0.377
Cs2 0.500 0.500 0.500
Sn7 0.926 0.379 0.123
Sn8 0.426 0.623 0.121
```

---

# 5
VASP calculation (PBE-GGA) on a geometry-optimized CsAgSn2 structure.

Properties
total moment: 0.0 Bohr magnetons per cell
symmetry: No. 141
calculated formation energy: 45 meV/atom

The structure in CIF format:
```
data_CsAgSn2
_chemical_formula_sum 'Cs2 Ag2 Sn4'
_symmetry_space_group_name_H-M 'P 1'
_symmetry_Int_Tables_number 1
_symmetry_space_group_name_Hall 'P 1'
_cell_length_a 5.878
_cell_length_b 5.878
_cell_length_c 10.608
_cell_angle_alpha 73.92
_cell_angle_beta 73.92
_cell_angle_gamma 90.00
loop_
_atom_site_label
_atom_site_fract_x
_atom_site_fract_y
_atom_site_fract_z
Sn1 0.375 0.625 0.250
Sn2 0.375 0.625 0.750
Ag1 0.250 0.750 0.500
Ag2 0.500 0.500 0.000
Sn3 0.375 0.125 0.250
Cs1 0.000 0.000 0.000
Cs2 0.750 0.250 0.500
Sn4 0.875 0.625 0.750
```

---

# 6
VASP calculation (PBE-GGA) on a geometry-optimized CsAg2Sn2 structure.

Properties
total moment: 0.0 Bohr magnetons per cell
symmetry: No. 15
calculated formation energy: -39 meV/atom
ΔE to the lowest computed polymorph: 0.00 kcal/mol of atoms

The structure in CIF format:
```
data_CsAg2Sn2
_chemical_formula_sum 'Cs2 Ag4 Sn4'
_symmetry_space_group_name_H-M 'P 1'
_symmetry_Int_Tables_number 1
_symmetry_space_group_name_Hall 'P 1'
_cell_length_a 7.974
_cell_length_b 7.563
_cell_length_c 7.707
_cell_angle_alpha 73.99
_cell_angle_beta 58.43
_cell_angle_gamma 58.21
loop_
_atom_site_label
_atom_site_fract_x
_atom_site_fract_y
_atom_site_fract_z
Sn1 0.262 0.748 0.480
Sn2 0.738 0.252 0.520
Cs1 0.874 0.751 0.250
Ag1 0.568 0.365 0.250
Ag2 0.816 0.867 0.750
Ag3 0.184 0.133 0.250
Sn3 0.510 0.252 0.980
Sn4 0.490 0.748 0.020
Cs2 0.126 0.249 0.750
Ag4 0.432 0.635 0.750
```

---

# 7
VASP calculation (PBE-GGA) on a geometry-optimized CsAg4Sn12 structure.

Properties
total moment: 0.0 Bohr magnetons per cell
symmetry: No. 204
calculated formation energy: 37 meV/atom

The structure in CIF format:
```
data_CsAg4Sn12
_chemical_formula_sum 'Cs1 Ag4 Sn12'
_symmetry_space_group_name_H-M 'P 1'
_symmetry_Int_Tables_number 1
_symmetry_space_group_name_Hall 'P 1'
_cell_length_a 8.538
_cell_length_b 8.538
_cell_length_c 8.538
_cell_angle_alpha 109.47
_cell_angle_beta 109.47
_cell_angle_gamma 109.47
loop_
_atom_site_label
_atom_site_fract_x
_atom_site_fract_y
_atom_site_fract_z
Sn1 0.353 0.197 0.844
Sn2 0.647 0.803 0.156
Sn3 0.156 0.353 0.510
Ag1 0.000 0.500 0.000
Sn4 0.844 0.353 0.197
Cs1 0.000 0.000 0.000
Sn5 0.353 0.510 0.156
Sn6 0.844 0.647 0.490
Ag2 0.500 0.000 0.000
Sn7 0.803 0.156 0.647
Ag3 0.000 0.000 0.500
Sn8 0.197 0.844 0.353
Sn9 0.510 0.156 0.353
Ag4 0.500 0.500 0.500
Sn10 0.647 0.490 0.844
Sn11 0.490 0.844 0.647
Sn12 0.156 0.647 0.803
```

---

# 8
VASP calculation (PBE-GGA) on a geometry-optimized CsAg2Sn2 structure.

Properties
total moment: 0.0 Bohr magnetons per cell
symmetry: No. 139
calculated formation energy: -39 meV/atom
ΔE to the lowest computed polymorph: 0.02 kcal/mol of atoms

The structure in CIF format:
```
data_CsAg2Sn2
_chemical_formula_sum 'Cs1 Ag2 Sn2'
_symmetry_space_group_name_H-M 'P 1'
_symmetry_Int_Tables_number 1
_symmetry_space_group_name_Hall 'P 1'
_cell_length_a 5.181
_cell_length_b 5.181
_cell_length_c 6.686
_cell_angle_alpha 67.20
_cell_angle_beta 67.20
_cell_angle_gamma 90.00
loop_
_atom_site_label
_atom_site_fract_x
_atom_site_fract_y
_atom_site_fract_z
Sn1 0.635 0.635 0.730
Ag1 0.250 0.750 0.500
Ag2 0.750 0.250 0.500
Cs1 0.000 0.000 0.000
Sn2 0.365 0.365 0.270
```

---

# 9
VASP calculation (PBE-GGA) on a geometry-optimized CsAgSn3 structure.

Properties
total moment: 0.0 Bohr magnetons per cell
symmetry: No. 7
calculated formation energy: -97 meV/atom
ΔE to the lowest computed polymorph: 1.28 kcal/mol of atoms

The structure in CIF format:
```
data_CsAgSn3
_chemical_formula_sum 'Cs2 Ag2 Sn6'
_symmetry_space_group_name_H-M 'P 1'
_symmetry_Int_Tables_number 1
_symmetry_space_group_name_Hall 'P 1'
_cell_length_a 6.837
_cell_length_b 7.893
_cell_length_c 7.019
_cell_angle_alpha 89.99
_cell_angle_beta 85.23
_cell_angle_gamma 90.00
loop_
_atom_site_label
_atom_site_fract_x
_atom_site_fract_y
_atom_site_fract_z
Ag1 0.673 0.690 0.098
Sn1 0.826 0.838 0.756
Cs1 0.515 0.286 0.776
Ag2 0.173 0.663 0.598
Sn2 0.518 0.835 0.460
Sn3 0.346 0.815 0.913
Sn4 0.326 0.515 0.256
Cs2 0.015 0.066 0.277
Sn5 0.846 0.538 0.413
Sn6 0.018 0.518 0.960
```

---

# 10
VASP calculation (PBE-GGA) on a geometry-optimized CsAgSn2 structure.

Properties
total moment: 0.0 Bohr magnetons per cell
symmetry: No. 225
calculated formation energy: 339 meV/atom

The structure in CIF format:
```
data_CsAgSn2
_chemical_formula_sum 'Cs1 Ag1 Sn2'
_symmetry_space_group_name_H-M 'P 1'
_symmetry_Int_Tables_number 1
_symmetry_space_group_name_Hall 'P 1'
_cell_length_a 5.573
_cell_length_b 5.573
_cell_length_c 5.573
_cell_angle_alpha 60.00
_cell_angle_beta 60.00
_cell_angle_gamma 60.00
loop_
_atom_site_label
_atom_site_fract_x
_atom_site_fract_y
_atom_site_fract_z
Cs1 0.500 0.500 0.500
Ag1 0.000 0.000 0.000
Sn1 0.750 0.750 0.750
Sn2 0.250 0.250 0.250
```

---

# 11
VASP calculation (PBE-GGA) on a geometry-optimized CsAg2Sn2 structure.

Properties
total moment: 0.0 Bohr magnetons per cell
symmetry: No. 139
calculated formation energy: 0 meV/atom
ΔE to the lowest computed polymorph: 0.90 kcal/mol of atoms

The structure in CIF format:
```
data_CsAg2Sn2
_chemical_formula_sum 'Cs1 Ag2 Sn2'
_symmetry_space_group_name_H-M 'P 1'
_symmetry_Int_Tables_number 1
_symmetry_space_group_name_Hall 'P 1'
_cell_length_a 5.075
_cell_length_b 5.075
_cell_length_c 7.414
_cell_angle_alpha 69.98
_cell_angle_beta 69.98
_cell_angle_gamma 90.00
loop_
_atom_site_label
_atom_site_fract_x
_atom_site_fract_y
_atom_site_fract_z
Ag1 0.348 0.348 0.304
Sn1 0.250 0.750 0.500
Sn2 0.750 0.250 0.500
Ag2 0.652 0.652 0.696
Cs1 0.000 0.000 0.000
```